Entry from the Alexandria database: a geometry-optimized TaMoBr structure (GGA-PBE).

a = 3.181 Å, b = 3.181 Å, c = 11.643 Å
α = 90.00°, β = 90.00°, γ = 90.00°
Space group I4mm (No. 107)
Asymmetric unit:
Ta: 0.000 0.000 0.000 [2 per cell]
Mo: 0.000 0.000 0.626 [2 per cell]
Br: 0.000 0.000 0.308 [2 per cell]

- formation energy without anion corrections (eV per atom) = 0.558
- uncorrected energy (eV per cell) = -45.4
- energy relative to the lowest polymorph listed for this composition (meV per atom) = 137.7
- total moment (μB per formula unit) = 0.0